No. 1
Material: NaTb2CuO5
Method: DFT, PBE-GGA
State: optimized geometry

Cell: 6.5085 6.5085 5.5519 Å, 90.00 90.00 90.00°
Positions (direct):
Na 0.0000 0.0000 0.0000
Na 0.5000 0.5000 0.0000
Tb 0.1765 0.3235 0.5000
Tb 0.3235 0.8235 0.5000
Tb 0.6765 0.1765 0.5000
Tb 0.8235 0.6765 0.5000
Cu 0.0000 0.5000 0.0000
Cu 0.5000 0.0000 0.0000
O 0.0000 0.0000 0.5000
O 0.1337 0.6337 0.2438
O 0.1337 0.6337 0.7562
O 0.3663 0.1337 0.2438
O 0.3663 0.1337 0.7562
O 0.5000 0.5000 0.5000
O 0.6337 0.8663 0.2438
O 0.6337 0.8663 0.7562
O 0.8663 0.3663 0.2438
O 0.8663 0.3663 0.7562

Computed properties:
Total energy in Ha/atom: -0.2472
Energy relative to the elements, uncorrected in eV/atom: -2.3411

=====

No. 2
Material: NaCuTc2O8
Method: DFT, PBE-GGA
State: optimized geometry

Cell: 5.7701 5.7701 6.4947 Å, 90.00 90.00 120.00°
Positions (direct):
Na 0.0000 0.0000 0.0000
Cu 0.0000 0.0000 0.5000
Tc 0.3333 0.6667 0.2159
Tc 0.6667 0.3333 0.7841
O 0.1658 0.3316 0.3001
O 0.1658 0.8342 0.3001
O 0.3316 0.1658 0.6998
O 0.3333 0.6667 0.9494
O 0.6667 0.3333 0.0506
O 0.6684 0.8342 0.3001
O 0.8342 0.1658 0.6998
O 0.8342 0.6684 0.6998

Computed properties:
Total energy in Ha/atom: -0.2513
Energy relative to the elements, uncorrected in eV/atom: -1.3533

=====

No. 3
Material: Na2Cu2TcO6
Method: DFT, PBE-GGA
State: optimized geometry

Cell: 5.2190 5.2190 5.5341 Å, 90.00 90.00 120.00°
Positions (direct):
Na 0.3333 0.6667 0.0000
Na 0.6667 0.3333 0.0000
Cu 0.3333 0.6667 0.5000
Cu 0.6667 0.3333 0.5000
Tc 0.0000 0.0000 0.5000
O 0.0000 0.3202 0.3080
O 0.0000 0.6798 0.6920
O 0.3202 0.0000 0.3080
O 0.3202 0.3202 0.6920
O 0.6798 0.0000 0.6920
O 0.6798 0.6798 0.3080

Computed properties:
Total energy in Ha/atom: -0.2093
Energy relative to the elements, uncorrected in eV/atom: -1.0636

=====

No. 4
Material: NaCu2TcO6
Method: DFT, PBE-GGA
State: optimized geometry

Cell: 6.7424 6.7424 7.3910 Å, 97.72 97.72 96.83°
Positions (direct):
Na 0.2457 0.7543 0.7500
Na 0.7543 0.2457 0.2500
Cu 0.3728 0.3782 0.3443
Cu 0.3782 0.3728 0.8443
Cu 0.6218 0.6272 0.1557
Cu 0.6272 0.6218 0.6557
Tc 0.0777 0.9223 0.2500
Tc 0.9223 0.0777 0.7500
O 0.1298 0.1921 0.2868
O 0.1740 0.8210 0.0569
O 0.1790 0.8260 0.4431
O 0.1921 0.1298 0.7868
O 0.3752 0.4438 0.6028
O 0.4438 0.3752 0.1028
O 0.5562 0.6248 0.8972
O 0.6248 0.5562 0.3972
O 0.8079 0.8702 0.2132
O 0.8210 0.1740 0.5569
O 0.8260 0.1790 0.9431
O 0.8702 0.8079 0.7132

Computed properties:
Total energy in Ha/atom: -0.2218
Energy relative to the elements, uncorrected in eV/atom: -1.0741

=====

No. 5
Material: NaCuTcO4
Method: DFT, PBE-GGA
State: optimized geometry

Cell: 6.5485 6.5485 6.5485 Å, 127.33 124.60 79.97°
Positions (direct):
Na 0.4127 0.1627 0.2500
Na 0.5873 0.8373 0.7500
Cu 0.0000 0.0000 0.5000
Cu 0.0000 0.5000 0.0000
Tc 0.0000 0.5000 0.5000
Tc 0.5000 0.5000 0.0000
O 0.1529 0.6953 0.4576
O 0.2624 0.3047 0.9576
O 0.2641 0.2971 0.5330
O 0.2641 0.7310 0.9670
O 0.7359 0.2690 0.0330
O 0.7359 0.7029 0.4670
O 0.7376 0.6953 0.0424
O 0.8471 0.3047 0.5424

Computed properties:
Total energy in Ha/atom: -0.2309
Energy relative to the elements, uncorrected in eV/atom: -1.1942

=====

No. 6
Material: Na2CuTcO4
Method: DFT, PBE-GGA
State: optimized geometry

Cell: 5.4906 5.4906 7.2090 Å, 90.00 90.00 90.00°
Positions (direct):
Na 0.0000 0.0000 0.0000
Na 0.0000 0.5000 0.2500
Na 0.5000 0.0000 0.7500
Na 0.5000 0.5000 0.5000
Cu 0.0000 0.0000 0.5000
Cu 0.5000 0.5000 0.0000
Tc 0.0000 0.5000 0.7500
Tc 0.5000 0.0000 0.2500
O 0.1883 0.2571 0.6398
O 0.2429 0.6883 0.8602
O 0.2571 0.8117 0.3602
O 0.3117 0.2429 0.1398
O 0.6883 0.7571 0.1398
O 0.7429 0.1883 0.3602
O 0.7571 0.3117 0.8602
O 0.8117 0.7429 0.6398

Computed properties:
Total energy in Ha/atom: -0.2142
Energy relative to the elements, uncorrected in eV/atom: -1.2121

=====

No. 7
Material: NaCuTeO4
Method: DFT, PBE-GGA
State: optimized geometry

Cell: 5.8878 5.8878 6.5487 Å, 90.00 90.00 90.00°
Positions (direct):
Na 0.0000 0.0000 0.0000
Na 0.5000 0.5000 0.5000
Cu 0.0000 0.5000 0.7500
Cu 0.5000 0.0000 0.2500
Te 0.0000 0.0000 0.5000
Te 0.5000 0.5000 0.0000
O 0.1479 0.2098 0.6770
O 0.2098 0.8521 0.3230
O 0.2902 0.6479 0.8230
O 0.3521 0.2902 0.1770
O 0.6479 0.7098 0.1770
O 0.7098 0.3521 0.8230
O 0.7902 0.1479 0.3230
O 0.8521 0.7902 0.6770

Computed properties:
Total energy in Ha/atom: -0.1836
Energy relative to the elements, uncorrected in eV/atom: -0.9401

=====

No. 8
Material: NaCuTe2O6
Method: DFT, PBE-GGA
State: optimized geometry

Cell: 5.9232 5.9232 5.9232 Å, 55.33 55.33 55.33°
Positions (direct):
Na 0.0000 0.0000 0.0000
Cu 0.5447 0.5447 0.5447
Te 0.2915 0.2915 0.2915
Te 0.7775 0.7775 0.7775
O 0.0628 0.4372 0.6446
O 0.2107 0.9268 0.5393
O 0.4372 0.6446 0.0628
O 0.5393 0.2107 0.9268
O 0.6446 0.0628 0.4372
O 0.9268 0.5393 0.2107

Computed properties:
Total energy in Ha/atom: -0.1869
Energy relative to the elements, uncorrected in eV/atom: -0.9423

=====

No. 9
Material: Na2CuTeO4
Method: DFT, PBE-GGA
State: optimized geometry

Cell: 5.2942 5.3462 5.5626 Å, 61.92 62.06 86.90°
Positions (direct):
Na 0.0000 0.0000 0.0000
Na 0.2473 0.7556 0.4997
Cu 0.5747 0.4268 0.9997
Te 0.7135 0.2909 0.4989
O 0.3669 0.2621 0.4634
O 0.4338 0.1148 0.9738
O 0.7392 0.6337 0.5363
O 0.8876 0.5709 0.0251

Computed properties:
Total energy in Ha/atom: -0.1797
Energy relative to the elements, uncorrected in eV/atom: -1.1765

=====

No. 10
Material: Na2Cu2TeO6
Method: DFT, PBE-GGA
State: optimized geometry

Cell: 5.2773 5.2773 6.0495 Å, 103.67 103.67 111.98°
Positions (direct):
Na 0.1862 0.8138 0.0000
Na 0.8138 0.1862 0.0000
Cu 0.3353 0.6647 0.5000
Cu 0.6647 0.3353 0.5000
Te 0.0000 0.0000 0.5000
O 0.0211 0.3501 0.7178
O 0.2446 0.2446 0.3436
O 0.3501 0.0211 0.7178
O 0.6499 0.9789 0.2822
O 0.7554 0.7554 0.6564
O 0.9789 0.6499 0.2822

Computed properties:
Relative energy among the computed polymorphs in eV per atom: 0.0000
Total energy in Ha/atom: -0.1865
Energy relative to the elements, uncorrected in eV/atom: -1.1010

=====

No. 11
Material: Na2Cu2TeO6
Method: DFT, PBE-GGA
State: optimized geometry

Cell: 5.2927 5.2927 5.5472 Å, 90.00 90.00 120.00°
Positions (direct):
Na 0.3333 0.6667 0.0000
Na 0.6667 0.3333 0.0000
Cu 0.3333 0.6667 0.5000
Cu 0.6667 0.3333 0.5000
Te 0.0000 0.0000 0.5000
O 0.0000 0.3111 0.3041
O 0.0000 0.6889 0.6959
O 0.3111 0.0000 0.3041
O 0.3111 0.3111 0.6959
O 0.6889 0.0000 0.6959
O 0.6889 0.6889 0.3041

Computed properties:
Relative energy among the computed polymorphs in eV per atom: 0.0712
Total energy in Ha/atom: -0.1839
Energy relative to the elements, uncorrected in eV/atom: -1.0298

=====

No. 12
Material: Na2CuTeO
Method: DFT, PBE-GGA
State: optimized geometry

Cell: 5.3568 5.3568 3.5608 Å, 90.00 90.00 90.00°
Positions (direct):
Na 0.0000 0.5000 0.0000
Na 0.5000 0.0000 0.0000
Cu 0.0000 0.0000 0.5000
Te 0.5000 0.5000 0.5000
O 0.0000 0.0000 0.0000

Computed properties:
Total energy in Ha/atom: -0.1378
Energy relative to the elements, uncorrected in eV/atom: -0.7842

=====

No. 13
Material: Na2ThCuO4
Method: DFT, PBE-GGA
State: optimized geometry

Cell: 5.8899 3.3668 6.2489 Å, 90.00 113.87 90.00°
Positions (direct):
Na 0.0000 0.0000 0.0000
Na 0.5000 0.5000 0.0000
Th 0.0000 0.5000 0.5000
Cu 0.5000 0.0000 0.5000
O 0.2079 0.0000 0.7537
O 0.2871 0.5000 0.3183
O 0.7129 0.5000 0.6817
O 0.7921 0.0000 0.2463

Computed properties:
Total energy in Ha/atom: -0.2288
Energy relative to the elements, uncorrected in eV/atom: -1.9783

=====

No. 14
Material: NaTiCu2O4
Method: DFT, PBE-GGA
State: optimized geometry

Cell: 5.4022 5.4022 6.4123 Å, 90.00 90.00 90.00°
Positions (direct):
Na 0.0000 0.0000 0.0000
Na 0.5000 0.5000 0.5000
Ti 0.0000 0.0000 0.5000
Ti 0.5000 0.5000 0.0000
Cu 0.0000 0.5000 0.2500
Cu 0.0000 0.5000 0.7500
Cu 0.5000 0.0000 0.2500
Cu 0.5000 0.0000 0.7500
O 0.1941 0.1941 0.3248
O 0.1941 0.8059 0.6752
O 0.3059 0.3059 0.8248
O 0.3059 0.6941 0.1752
O 0.6941 0.3059 0.1752
O 0.6941 0.6941 0.8248
O 0.8059 0.1941 0.6752
O 0.8059 0.8059 0.3248

Computed properties:
Total energy in Ha/atom: -0.2312
Energy relative to the elements, uncorrected in eV/atom: -1.6376

=====

No. 15
Material: NaTi4Cu3O12
Method: DFT, PBE-GGA
State: optimized geometry

Cell: 6.4309 6.4309 6.4309 Å, 109.47 109.47 109.47°
Positions (direct):
Na 0.0000 0.0000 0.0000
Ti 0.0000 0.0000 0.5000
Ti 0.0000 0.5000 0.0000
Ti 0.5000 0.0000 0.0000
Ti 0.5000 0.5000 0.5000
Cu 0.0000 0.5000 0.5000
Cu 0.5000 0.0000 0.5000
Cu 0.5000 0.5000 0.0000
O 0.1324 0.3094 0.8230
O 0.1770 0.4864 0.3094
O 0.1770 0.8676 0.6906
O 0.3094 0.1770 0.4864
O 0.3094 0.8230 0.1324
O 0.4864 0.3094 0.1770
O 0.5136 0.6906 0.8230
O 0.6906 0.1770 0.8676
O 0.6906 0.8230 0.5136
O 0.8230 0.1324 0.3094
O 0.8230 0.5136 0.6906
O 0.8676 0.6906 0.1770

Computed properties:
Total energy in Ha/atom: -0.2694
Energy relative to the elements, uncorrected in eV/atom: -2.0952

=====

No. 16
Material: NaTlCuO3
Method: DFT, PBE-GGA
State: optimized geometry

Cell: 5.4680 5.4680 10.0290 Å, 90.00 90.00 142.84°
Positions (direct):
Na 0.2101 0.7899 0.7500
Na 0.7899 0.2101 0.2500
Tl 0.5000 0.5000 0.0000
Tl 0.5000 0.5000 0.5000
Cu 0.0642 0.9358 0.2500
Cu 0.9358 0.0642 0.7500
O 0.1244 0.8756 0.0727
O 0.1244 0.8756 0.4273
O 0.4628 0.5372 0.2500
O 0.5372 0.4628 0.7500
O 0.8756 0.1244 0.5727
O 0.8756 0.1244 0.9273

Computed properties:
Total energy in Ha/atom: -0.1641
Energy relative to the elements, uncorrected in eV/atom: -0.6894

=====

No. 17
Material: Na2TlCuO4
Method: DFT, PBE-GGA
State: optimized geometry

Cell: 6.2451 3.0461 6.2762 Å, 90.00 116.92 90.00°
Positions (direct):
Na 0.0000 0.0000 0.0000
Na 0.0000 0.5000 0.5000
Tl 0.5000 0.0000 0.5000
Cu 0.5000 0.5000 0.0000
O 0.2297 0.5000 0.2977
O 0.3258 0.0000 0.8109
O 0.6742 0.0000 0.1891
O 0.7703 0.5000 0.7023

Computed properties:
Total energy in Ha/atom: -0.1671
Energy relative to the elements, uncorrected in eV/atom: -0.9292

=====

No. 18
Material: Na3Tl2CuO6
Method: DFT, PBE-GGA
State: optimized geometry

Cell: 5.7184 5.7184 5.8143 Å, 99.43 99.43 120.01°
Positions (direct):
Na 0.0000 0.0000 0.0000
Na 0.3398 0.6602 0.0000
Na 0.6602 0.3398 0.0000
Tl 0.1673 0.8327 0.5000
Tl 0.8327 0.1673 0.5000
Cu 0.5000 0.5000 0.5000
O 0.1237 0.4284 0.2825
O 0.2674 0.2674 0.7095
O 0.4284 0.1237 0.2825
O 0.5716 0.8763 0.7175
O 0.7326 0.7326 0.2905
O 0.8763 0.5716 0.7175

Computed properties:
Total energy in Ha/atom: -0.1659
Energy relative to the elements, uncorrected in eV/atom: -0.9685

=====

No. 19
Material: NaTlCuO2
Method: DFT, PBE-GGA
State: optimized geometry

Cell: 5.6152 4.8557 6.6966 Å, 90.00 100.51 90.00°
Positions (direct):
Na 0.0000 0.0027 0.2500
Na 0.0000 0.9973 0.7500
Tl 0.5000 0.4592 0.2500
Tl 0.5000 0.5408 0.7500
Cu 0.5000 0.0000 0.0000
Cu 0.5000 0.0000 0.5000
O 0.2554 0.2217 0.5490
O 0.2554 0.7783 0.0490
O 0.7446 0.2217 0.9510
O 0.7446 0.7783 0.4510

Computed properties:
Total energy in Ha/atom: -0.1565
Energy relative to the elements, uncorrected in eV/atom: -0.7181

=====

No. 20
Material: Na2TmCuO4
Method: DFT, PBE-GGA
State: optimized geometry

Cell: 5.9387 3.0929 6.2081 Å, 90.00 115.04 90.00°
Positions (direct):
Na 0.0000 0.0000 0.0000
Na 0.5000 0.5000 0.0000
Tm 0.0000 0.5000 0.5000
Cu 0.5000 0.0000 0.5000
O 0.2006 0.0000 0.7565
O 0.2950 0.5000 0.3382
O 0.7050 0.5000 0.6618
O 0.7994 0.0000 0.2435

Computed properties:
Total energy in Ha/atom: -0.2088
Energy relative to the elements, uncorrected in eV/atom: -1.8027